No. 1
7
Lattice="-3.078 -2.160 -2.930 3.549 -0.931 -3.042 1.227 -6.644 -0.269" Properties=species:S:1:pos:R:3 comment="Ti4V2Ga PBE optimized geometry" total_energy_ev_per_fu=-47.34 magmom_total_mub_per_fu=0.00 crystal_system=tetragonal n_ef_per_ev_atom=1.354 pbc="T T T"
V 1.268 -7.184 -3.790
V 0.431 -2.551 -2.450
Ti 1.775 -0.466 -1.521
Ti 0.812 -4.508 -1.407
Ti -1.539 -1.080 -1.465
Ti 0.887 -5.227 -4.834
Ga 0.000 0.000 0.000

=====

No. 2
4
Lattice="3.080 0.000 0.000 0.000 3.483 0.000 0.000 0.000 5.514" Properties=species:S:1:pos:R:3 comment="Co2TeRh PBE optimized geometry" total_energy_ev_per_fu=-23.77 magmom_total_mub_per_fu=3.05 raw_formation_energy_ev_per_atom=0.23 crystal_system=orthorhombic n_ef_per_ev_atom=1.206 pbc="T T T"
Co 1.540 1.741 1.216
Co 0.000 0.000 0.190
Te 1.540 1.741 4.155
Rh 0.000 0.000 2.710

=====

No. 3
4
Lattice="5.817 0.000 0.000 0.000 4.052 0.001 0.000 -0.002 5.818" Properties=species:S:1:pos:R:3 comment="Sr2CdPb PBE optimized geometry" total_energy_ev_per_fu=-9.85 magmom_total_mub_per_fu=0.00 crystal_system=tetragonal n_ef_per_ev_atom=0.466 pbc="T T T"
Pb 2.908 2.531 5.091
Cd 0.000 2.532 2.185
Sr 0.000 0.506 5.091
Sr 2.908 0.504 2.180

=====

No. 4
16
Lattice="-2.309 -7.957 3.536 -3.064 -2.758 -8.206 8.462 2.990 0.781" Properties=species:S:1:pos:R:3 comment="Sr4PmY3Te8 PBE optimized geometry" total_energy_ev_per_fu=-80.28 magmom_total_mub_per_fu=0.00 raw_formation_energy_ev_per_atom=-1.52 crystal_system=trigonal n_ef_per_ev_atom=0.402 pbc="T T T"
Sr 0.000 0.000 0.000
Sr 4.231 1.495 0.390
Sr 3.077 -2.483 2.158
Sr -1.154 -3.978 1.768
Te -2.446 -6.689 0.491
Te 1.359 -2.511 -4.764
Te 1.730 -5.213 0.874
Te 4.396 -4.964 -2.635
Te 0.166 -6.476 -2.990
Te 5.536 -1.035 -4.381
Te -1.306 -2.760 -1.255
Te 2.923 -1.248 -0.899
Y 2.699 0.116 -3.713
Y -2.686 -5.357 -2.335
Y 1.545 -3.862 -1.945
Pm -1.532 -1.379 -4.103

=====

No. 5
10
Lattice="-2.792 -3.944 -0.477 2.092 -2.043 4.651 -3.614 5.453 0.777" Properties=species:S:1:pos:R:3 comment="Li2BeAu2 PBE optimized geometry" total_energy_ev_per_fu=-15.76 magmom_total_mub_per_fu=0.00 crystal_system=orthorhombic n_ef_per_ev_atom=0.270 pbc="T T T"
Li -3.822 -0.733 3.712
Li -0.491 0.198 1.238
Li -3.919 2.697 0.633
Li -0.395 -3.232 4.317
Au -1.989 -1.847 2.194
Au 0.138 -0.589 4.058
Au -4.452 0.054 0.892
Au -2.325 1.312 2.756
Be 0.348 -2.008 2.206
Be -1.048 -3.980 1.967

=====

No. 6
8
Lattice="5.369 0.000 0.000 0.000 5.369 0.000 2.685 2.685 5.885" Properties=species:S:1:pos:R:3 comment="Fe2ReBi PBE optimized geometry" total_energy_ev_per_fu=-28.36 magmom_total_mub_per_fu=0.00 crystal_system=tetragonal n_ef_per_ev_atom=0.263 pbc="T T T"
Bi 0.000 0.000 0.000
Bi 5.369 2.685 2.943
Re 2.685 2.685 0.000
Re 2.685 5.369 2.943
Fe 6.712 6.441 4.414
Fe 4.027 4.297 4.414
Fe 1.613 4.027 1.471
Fe 3.757 1.342 1.471

=====

No. 7
5
Lattice="-3.632 1.468 1.005 -1.684 -2.098 -3.020 -3.480 -4.792 2.561" Properties=species:S:1:pos:R:3 comment="Mg2CdCu2 PBE optimized geometry" total_energy_ev_per_fu=-11.55 magmom_total_mub_per_fu=0.00 crystal_system=tetragonal n_ef_per_ev_atom=0.414 pbc="T T T"
Cd 0.000 0.000 0.000
Cu -5.972 -4.201 0.832
Cu -2.824 -1.221 -0.285
Mg -4.885 -1.819 1.280
Mg -3.911 -3.603 -0.733

=====

No. 8
5
Lattice="4.761 0.000 0.000 0.000 4.761 0.000 0.000 0.000 3.724" Properties=species:S:1:pos:R:3 comment="CuReS2N PBE optimized geometry" total_energy_ev_per_fu=-30.65 magmom_total_mub_per_fu=0.00 raw_formation_energy_ev_per_atom=0.50 crystal_system=tetragonal n_ef_per_ev_atom=0.479 pbc="T T T"
Cu 2.381 2.381 1.862
Re 0.000 0.000 0.000
S 2.381 0.000 0.000
S 0.000 2.381 0.000
N 0.000 0.000 1.862

=====

No. 9
4
Lattice="-2.236 -2.075 2.822 2.615 -1.572 0.916 2.144 2.998 3.903" Properties=species:S:1:pos:R:3 comment="ZrRh2Se PBE optimized geometry" total_energy_ev_per_fu=-28.69 magmom_total_mub_per_fu=0.00 raw_formation_energy_ev_per_atom=-0.49 crystal_system=monoclinic n_ef_per_ev_atom=0.880 pbc="T T T"
Se 0.072 -0.681 2.616
Rh 0.390 -0.195 0.166
Rh 1.989 0.908 2.244
Zr 2.451 0.032 5.026

=====

No. 10
8
Lattice="8.088 0.000 0.000 0.000 8.088 0.000 4.044 4.044 3.791" Properties=species:S:1:pos:R:3 comment="La2SiAg PBE optimized geometry" total_energy_ev_per_fu=-18.61 magmom_total_mub_per_fu=0.00 raw_formation_energy_ev_per_atom=-0.12 crystal_system=tetragonal n_ef_per_ev_atom=0.836 pbc="T T T"
Si 4.044 8.088 1.896
Si 4.044 4.044 0.000
La 10.109 9.965 2.844
La 6.066 6.210 2.844
La 2.167 6.066 0.948
La 5.921 2.022 0.948
Ag 0.000 0.000 0.000
Ag 8.088 4.044 1.896

=====

No. 11
14
Lattice="6.950 0.000 -0.162 0.000 7.108 0.000 -2.903 0.000 8.944" Properties=species:S:1:pos:R:3 comment="RbTlCuCl4 PBE optimized geometry" total_energy_ev_per_fu=-22.17 magmom_total_mub_per_fu=1.03 raw_formation_energy_ev_per_atom=-1.05 crystal_system=monoclinic n_ef_per_ev_atom=0.706 pbc="T T T"
Cl -0.559 0.033 1.996
Cl 1.608 1.777 7.696
Cl 4.606 3.587 6.786
Cl 2.439 5.331 1.086
Cl 0.783 5.331 4.784
Cl 3.264 1.777 3.998
Cl 4.606 7.075 6.786
Cl -0.559 3.521 1.996
Cu 3.314 1.777 6.249
Cu 0.733 5.331 2.532
Rb 4.196 5.331 3.936
Rb -0.149 1.777 4.846
Tl 1.719 1.777 0.522
Tl 2.328 5.331 8.260

=====

No. 12
4
Lattice="3.920 -0.029 0.000 0.031 3.920 0.000 0.000 0.000 7.741" Properties=species:S:1:pos:R:3 comment="SrMg3 PBE optimized geometry" total_energy_ev_per_fu=-6.44 magmom_total_mub_per_fu=0.00 crystal_system=tetragonal n_ef_per_ev_atom=0.578 pbc="T T T"
Mg 0.000 0.000 3.871
Mg 1.975 1.945 2.292
Mg 1.975 1.945 5.449
Sr 0.000 0.000 0.000